Density functional theory data (PBE-GGA) for an optimized crystal structure of Cd2CoBr.

Total moment = 1.17 Bohr magnetons per cell
Raw total energy = -9.41 eV/cell

Structure (CIF):
```
data_Cd2CoBr
_space_group_name_H-M_alt 'P 4 m m'
_space_group_IT_number 99
_space_group_name_Hall 'P 4 -2'
_cell_length_a 3.654
_cell_length_b 3.654
_cell_length_c 7.342
_cell_angle_alpha 90.00
_cell_angle_beta 90.00
_cell_angle_gamma 90.00
loop_
_atom_site_label
_atom_site_fract_x
_atom_site_fract_y
_atom_site_fract_z
Cd1 0.000 0.000 0.000
Cd2 0.500 0.500 0.296
Co1 0.000 0.000 0.350
Br1 0.500 0.500 0.789
```

Density functional theory data (PBE-GGA) for an optimized crystal structure of MnCuCl2.

Total moment = 8.51 Bohr magnetons per cell
Raw total energy = -34.30 eV/cell

Structure (CIF):
```
data_MnCuCl2
_space_group_name_H-M_alt 'I -4 m 2'
_space_group_IT_number 119
_space_group_name_Hall 'I -4 -2'
_cell_length_a 3.529
_cell_length_b 3.529
_cell_length_c 12.118
_cell_angle_alpha 90.00
_cell_angle_beta 90.00
_cell_angle_gamma 90.00
loop_
_atom_site_label
_atom_site_fract_x
_atom_site_fract_y
_atom_site_fract_z
Mn1 0.000 0.000 0.000
Cu1 0.000 0.500 0.250
Cl1 0.000 0.000 0.500
Cl2 0.000 0.500 0.750
```

Density functional theory data (PBE-GGA) for an optimized crystal structure of MgGa2Bi2.

Total moment = 0.00 Bohr magnetons per cell
Energy relative to the elements = 32 meV per atom
Raw total energy = -30.51 eV/cell

Structure (CIF):
```
data_MgGa2Bi2
_space_group_name_H-M_alt 'I 4/m m m'
_space_group_IT_number 139
_space_group_name_Hall '-I 4 2'
_cell_length_a 3.709
_cell_length_b 3.709
_cell_length_c 18.830
_cell_angle_alpha 90.00
_cell_angle_beta 90.00
_cell_angle_gamma 90.00
loop_
_atom_site_label
_atom_site_fract_x
_atom_site_fract_y
_atom_site_fract_z
Mg1 0.000 0.000 0.000
Ga1 0.000 0.500 0.250
Bi1 0.000 0.000 0.400
```

Density functional theory data (PBE-GGA) for an optimized crystal structure of BC3.

Total moment = 0.00 Bohr magnetons per cell
Energy relative to the elements = 323 meV per atom
Raw total energy = -99.17 eV/cell

Structure (CIF):
```
data_BC3
_space_group_name_H-M_alt 'P 1'
_space_group_IT_number 1
_space_group_name_Hall 'P 1'
_cell_length_a 4.509
_cell_length_b 4.518
_cell_length_c 4.522
_cell_angle_alpha 100.53
_cell_angle_beta 100.41
_cell_angle_gamma 119.82
loop_
_atom_site_label
_atom_site_fract_x
_atom_site_fract_y
_atom_site_fract_z
B1 0.000 0.000 0.000
B2 0.156 0.825 0.512
B3 0.653 0.320 0.004
C1 0.055 0.712 0.115
C2 0.205 0.528 0.631
C3 0.333 0.662 0.002
C4 0.371 0.384 0.136
C5 0.495 0.499 0.500
C6 0.552 0.222 0.612
C7 0.694 0.030 0.134
C8 0.830 0.164 0.501
C9 0.856 0.870 0.617
```

Density functional theory data (PBE-GGA) for an optimized crystal structure of NdSmSe2.

Total moment = 0.00 Bohr magnetons per cell
Raw total energy = -47.41 eV/cell

Structure (CIF):
```
data_NdSmSe2
_space_group_name_H-M_alt 'P 63/m m c'
_space_group_IT_number 194
_space_group_name_Hall '-P 6c 2c'
_cell_length_a 4.1298
_cell_length_b 4.1298
_cell_length_c 14.2508
_cell_angle_alpha 90.00
_cell_angle_beta 90.00
_cell_angle_gamma 120.00
loop_
_atom_site_label
_atom_site_fract_x
_atom_site_fract_y
_atom_site_fract_z
Nd1 0.0000 0.0000 0.0000
Sm1 0.3333 0.6667 0.2500
Se1 0.3333 0.6667 0.6253
```

Density functional theory data (PBE-GGA) for an optimized crystal structure of Li3B8C8.

Total moment = 0.00 Bohr magnetons per cell
Energy relative to the elements = 97 meV per atom
Raw total energy = -262.23 eV/cell

Structure (CIF):
```
data_Li3B8C8
_space_group_name_H-M_alt 'C 1 2/m 1'
_space_group_IT_number 12
_space_group_name_Hall '-C 2y'
_cell_length_a 14.629
_cell_length_b 5.382
_cell_length_c 4.689
_cell_angle_alpha 90.00
_cell_angle_beta 90.79
_cell_angle_gamma 90.00
loop_
_atom_site_label
_atom_site_fract_x
_atom_site_fract_y
_atom_site_fract_z
Li1 0.000 0.000 0.000
Li2 0.250 0.000 0.996
B1 0.125 0.251 0.829
B2 0.125 0.500 0.331
B3 0.128 0.000 0.334
C1 0.125 0.000 0.666
C2 0.126 0.500 0.663
C3 0.128 0.249 0.163
```

Density functional theory data (PBE-GGA) for an optimized crystal structure of HgIrSeN2.

Total moment = 4.15 Bohr magnetons per cell
Raw total energy = -16.98 eV/cell

Structure (CIF):
```
data_HgIrSeN2
_space_group_name_H-M_alt 'P 4/m m m'
_space_group_IT_number 123
_space_group_name_Hall '-P 4 2'
_cell_length_a 3.985
_cell_length_b 3.985
_cell_length_c 6.345
_cell_angle_alpha 90.00
_cell_angle_beta 90.00
_cell_angle_gamma 90.00
loop_
_atom_site_label
_atom_site_fract_x
_atom_site_fract_y
_atom_site_fract_z
Hg1 0.000 0.000 0.000
Ir1 0.500 0.500 0.500
Se1 0.000 0.000 0.500
N1 0.000 0.500 0.000
```

Density functional theory data (PBE-GGA) for an optimized crystal structure of Ta4Au2N.

Total moment = 0.00 Bohr magnetons per cell
Raw total energy = -126.33 eV/cell

Structure (CIF):
```
data_Ta4Au2N
_space_group_name_H-M_alt 'I 4/m m m'
_space_group_IT_number 139
_space_group_name_Hall '-I 4 2'
_cell_length_a 4.162
_cell_length_b 4.162
_cell_length_c 13.846
_cell_angle_alpha 90.00
_cell_angle_beta 90.00
_cell_angle_gamma 90.00
loop_
_atom_site_label
_atom_site_fract_x
_atom_site_fract_y
_atom_site_fract_z
Ta1 0.000 0.000 0.163
Ta2 0.000 0.500 0.000
Au1 0.000 0.000 0.358
N1 0.000 0.000 0.000
```